Entry 1:
# PBE TaO3, relaxed
# D(E_F): 1.74 states/eV per cell
# energy relative to the elements, uncorrected: -2.259 eV/atom
# energy relative to the lowest polymorph listed for this composition: 0 meV per atom
data_TaO3
_cell_length_a 3.961
_cell_length_b 3.961
_cell_length_c 3.961
_cell_angle_alpha 90.00
_cell_angle_beta 90.00
_cell_angle_gamma 90.00
_space_group_name_H-M_alt 'P m -3 m'
_space_group_IT_number 221
_space_group_name_Hall '-P 4 2 3'
loop_
_atom_site_label
_atom_site_fract_x
_atom_site_fract_y
_atom_site_fract_z
Ta1 0.000 0.000 0.000
O1 0.000 0.000 0.500

---

Entry 2:
# PBE TaO, relaxed
# D(E_F): 15.61 states/eV per cell
# energy relative to the elements, uncorrected: -1.633 eV/atom
data_TaO
_cell_length_a 6.684
_cell_length_b 6.845
_cell_length_c 9.137
_cell_angle_alpha 90.00
_cell_angle_beta 90.00
_cell_angle_gamma 90.00
_space_group_name_H-M_alt 'F d d d'
_space_group_IT_number 70
loop_
_space_group_symop_operation_xyz
'x,y,z'
'-x,-y,-z'
'-x+1/4,-y+1/4,z'
'x+1/4,y+1/4,-z'
'x,-y+1/4,-z+1/4'
'-x,y+1/4,z+1/4'
'-x+1/4,y,-z+1/4'
'x+1/4,-y,z+1/4'
'x,y+1/2,z+1/2'
'-x,-y+1/2,-z+1/2'
'-x+1/4,-y+3/4,z+1/2'
'x+1/4,y+3/4,-z+1/2'
'x,-y+3/4,-z+3/4'
'-x,y+3/4,z+3/4'
'-x+1/4,y+1/2,-z+3/4'
'x+1/4,-y+1/2,z+3/4'
'x+1/2,y,z+1/2'
'-x+1/2,-y,-z+1/2'
'-x+3/4,-y+1/4,z+1/2'
'x+3/4,y+1/4,-z+1/2'
'x+1/2,-y+1/4,-z+3/4'
'-x+1/2,y+1/4,z+3/4'
'-x+3/4,y,-z+3/4'
'x+3/4,-y,z+3/4'
'x+1/2,y+1/2,z'
'-x+1/2,-y+1/2,-z'
'-x+3/4,-y+3/4,z'
'x+3/4,y+3/4,-z'
'x+1/2,-y+3/4,-z+1/4'
'-x+1/2,y+3/4,z+1/4'
'-x+3/4,y+1/2,-z+1/4'
'x+3/4,-y+1/2,z+1/4'
loop_
_atom_site_label
_atom_site_fract_x
_atom_site_fract_y
_atom_site_fract_z
Ta1 0.092 0.375 0.375
O1 0.125 0.125 0.496

---

Entry 3:
# PBE TaO, relaxed
# D(E_F): 2.98 states/eV per cell
# energy relative to the elements, uncorrected: -0.898 eV/atom
data_TaO
_cell_length_a 4.504
_cell_length_b 4.504
_cell_length_c 4.504
_cell_angle_alpha 90.00
_cell_angle_beta 90.00
_cell_angle_gamma 90.00
_space_group_name_H-M_alt 'F m -3 m'
_space_group_IT_number 225
_space_group_name_Hall '-F 4 2 3'
loop_
_atom_site_label
_atom_site_fract_x
_atom_site_fract_y
_atom_site_fract_z
Ta1 0.000 0.000 0.000
O1 0.000 0.000 0.500

---

Entry 4:
# PBE TaO, relaxed
# D(E_F): 5.73 states/eV per cell
# energy relative to the elements, uncorrected: -1.360 eV/atom
data_TaO
_cell_length_a 6.234
_cell_length_b 6.234
_cell_length_c 2.874
_cell_angle_alpha 90.00
_cell_angle_beta 90.00
_cell_angle_gamma 90.00
_space_group_name_H-M_alt 'P 42/m n m'
_space_group_IT_number 136
_space_group_name_Hall '-P 4n 2n'
loop_
_atom_site_label
_atom_site_fract_x
_atom_site_fract_y
_atom_site_fract_z
Ta1 0.195 0.195 0.000
O1 0.131 0.869 0.000

---

Entry 5:
# PBE TaO, relaxed
# D(E_F): 3.77 states/eV per cell
# energy relative to the elements, uncorrected: -1.600 eV/atom
data_TaO
_cell_length_a 2.9378
_cell_length_b 2.9378
_cell_length_c 6.8621
_cell_angle_alpha 90.00
_cell_angle_beta 90.00
_cell_angle_gamma 120.00
_space_group_name_H-M_alt 'P 63 m c'
_space_group_IT_number 186
_space_group_name_Hall 'P 6c -2c'
loop_
_atom_site_label
_atom_site_fract_x
_atom_site_fract_y
_atom_site_fract_z
Ta1 0.3333 0.6667 0.0000
O1 0.3333 0.6667 0.7023

---

Entry 6:
# PBE TaO, relaxed
# D(E_F): 20.60 states/eV per cell
# energy relative to the elements, uncorrected: -0.748 eV/atom
data_TaO
_cell_length_a 6.590
_cell_length_b 6.590
_cell_length_c 6.590
_cell_angle_alpha 90.00
_cell_angle_beta 90.00
_cell_angle_gamma 90.00
_space_group_name_H-M_alt 'I -4 3 m'
_space_group_IT_number 217
_space_group_name_Hall 'I -4 2 3'
loop_
_atom_site_label
_atom_site_fract_x
_atom_site_fract_y
_atom_site_fract_z
Ta1 0.149 0.149 0.851
O1 0.168 0.168 0.168

---

Entry 7:
# PBE Ta2O5, relaxed
# D(E_F): 0.00 states/eV per cell
# energy relative to the elements, uncorrected: -2.751 eV/atom
data_Ta2O5
_cell_length_a 8.678
_cell_length_b 6.747
_cell_length_c 5.936
_cell_angle_alpha 90.00
_cell_angle_beta 131.65
_cell_angle_gamma 90.00
_space_group_name_H-M_alt 'C 1 2/m 1'
_space_group_IT_number 12
loop_
_space_group_symop_operation_xyz
'x,y,z'
'-x,-y,-z'
'-x,y,-z'
'x,-y,z'
'x+1/2,y+1/2,z'
'-x+1/2,-y+1/2,-z'
'-x+1/2,y+1/2,-z'
'x+1/2,-y+1/2,z'
loop_
_atom_site_label
_atom_site_fract_x
_atom_site_fract_y
_atom_site_fract_z
Ta1 0.220 0.000 0.120
O1 0.000 0.500 0.500
O2 0.092 0.000 0.277
O3 0.250 0.250 0.000

---

Entry 8:
# PBE Ta11O2, relaxed
# D(E_F): 21.97 states/eV per cell
# energy relative to the elements, uncorrected: -0.388 eV/atom
# energy relative to the lowest polymorph listed for this composition: 151 meV per atom
data_Ta11O2
_cell_length_a 7.296
_cell_length_b 8.265
_cell_length_c 8.624
_cell_angle_alpha 109.04
_cell_angle_beta 92.20
_cell_angle_gamma 112.40
_space_group_name_H-M_alt 'P 1'
_space_group_IT_number 1
loop_
_space_group_symop_operation_xyz
'x,y,z'
loop_
_atom_site_label
_atom_site_fract_x
_atom_site_fract_y
_atom_site_fract_z
Ta1 0.000 0.000 0.000
Ta2 0.001 0.368 0.573
Ta3 0.040 0.635 0.454
Ta4 0.068 0.349 0.933
Ta5 0.097 0.985 0.384
Ta6 0.198 0.313 0.298
Ta7 0.296 0.646 0.241
Ta8 0.326 0.317 0.678
Ta9 0.355 0.965 0.148
Ta10 0.406 0.643 0.597
Ta11 0.432 0.310 0.041
Ta12 0.434 0.966 0.521
Ta13 0.515 0.657 0.963
Ta14 0.578 0.322 0.431
Ta15 0.589 0.996 0.885
Ta16 0.663 0.656 0.345
Ta17 0.691 0.336 0.801
Ta18 0.737 0.989 0.261
Ta19 0.783 0.666 0.718
Ta20 0.816 0.317 0.171
Ta21 0.837 0.026 0.647
Ta22 0.914 0.661 0.084
O1 0.206 0.664 0.012
O2 0.292 0.014 0.936
O3 0.713 0.165 0.529
O4 0.936 0.828 0.563